The following is a DFT calculation (PBE-GGA) of a geometry-optimized Pm2BeAl3 structure.

The symmetry is Fmmm (69). The formation energy comes out at -347 meV/atom. For the total DFT energy (no corrections), the calculation gives -0.1625 Ha/atom. The calculated density comes out at 4.86 g/cm3. Its total magnetic moment is 0.00 μB/f.u. As for the density of states at the Fermi level: 8.1 states/eV per cell.

Lattice parameters (Å, degrees): 8.900 8.582 5.843 73.44 67.56 39.00
Sites, in units of the cell vectors:
Pm: 0.250 0.250 0.250
Pm: 0.250 0.750 0.750
Pm: 0.750 0.250 0.250
Pm: 0.750 0.750 0.750
Be: 0.167 0.167 0.833
Be: 0.833 0.833 0.167
Al: 0.155 0.672 0.328
Al: 0.327 0.327 0.673
Al: 0.328 0.845 0.155
Al: 0.672 0.155 0.845
Al: 0.673 0.673 0.327
Al: 0.845 0.328 0.672